# 1
Ba9Sb3N2 after structural relaxation, computed with PBE-GGA.

a = 7.8536 Å, b = 7.8536 Å, c = 9.6408 Å
α = 90.00°, β = 90.00°, γ = 120.00°
Sites, in units of the cell vectors:
Ba1 0.0000 0.5000 0.0000
Ba2 0.1718 0.3435 0.6748
Ba3 0.1718 0.8282 0.6748
Ba4 0.3435 0.1718 0.3252
Ba5 0.5000 0.0000 0.0000
Ba6 0.5000 0.5000 0.0000
Ba7 0.6565 0.8282 0.6748
Ba8 0.8282 0.1718 0.3252
Ba9 0.8282 0.6565 0.3252
Sb1 0.0000 0.0000 0.0000
Sb2 0.3333 0.6667 0.3332
Sb3 0.6667 0.3333 0.6668
N1 0.3333 0.6667 0.8196
N2 0.6667 0.3333 0.1804

Values from the calculation:
E_form (uncorrected): -9.89 eV per formula unit
Uncorrected energy: -0.1476 hartree per atom
Space group: No. 164

***

# 2
SmGdInBi after structural relaxation, computed with PBE-GGA.

a = 5.4922 Å, b = 5.4922 Å, c = 5.4922 Å
α = 60.00°, β = 60.00°, γ = 60.00°
Sites, in units of the cell vectors:
Sm1 0.0000 0.0000 0.0000
Gd1 0.5000 0.5000 0.5000
In1 0.7500 0.7500 0.7500
Bi1 0.2500 0.2500 0.2500

Values from the calculation:
Uncorrected energy: -0.2517 hartree per atom
Space group: No. 216

***

# 3
TlTe2OsC after structural relaxation, computed with PBE-GGA.

a = 4.6806 Å, b = 4.6806 Å, c = 4.5743 Å
α = 90.00°, β = 90.00°, γ = 90.00°
Sites, in units of the cell vectors:
Tl1 0.0000 0.0000 0.0000
Te1 0.0000 0.5000 0.5000
Te2 0.5000 0.0000 0.5000
Os1 0.5000 0.5000 0.0000
C1 0.0000 0.0000 0.5000

Values from the calculation:
E_form (uncorrected): 8.30 eV per formula unit
Uncorrected energy: -0.1529 hartree per atom
Space group: No. 123